# 1
Computed, not measured: HoEr10Tm4 after structural relaxation at the PBE level of DFT.

Properties
Calculated formation energy, kJ/mol of atoms: 69.6

a = 9.266 Å, b = 9.266 Å, c = 9.266 Å
α = 99.58°, β = 99.58°, γ = 131.86°
Fractional positions:
Ho 0.000 0.000 0.000
Er 0.050 0.350 0.899
Er 0.151 0.050 0.700
Er 0.250 0.750 0.500
Er 0.350 0.451 0.300
Er 0.451 0.151 0.101
Er 0.549 0.849 0.899
Er 0.650 0.549 0.700
Er 0.750 0.250 0.500
Er 0.849 0.950 0.300
Er 0.950 0.650 0.101
Tm 0.200 0.400 0.600
Tm 0.400 0.800 0.200
Tm 0.600 0.200 0.800
Tm 0.800 0.600 0.400


# 2
Computed, not measured: Na3Ac2CeTe6 after structural relaxation at the PBE level of DFT.

Properties
Formation energy from raw total energies, eV/atom: -1.34

a = 10.428 Å, b = 10.428 Å, c = 9.307 Å
α = 101.73°, β = 101.73°, γ = 26.15°
Fractional positions:
Na 0.000 0.000 0.000
Na 0.333 0.333 0.667
Na 0.667 0.667 0.333
Ac 0.334 0.334 0.170
Ac 0.666 0.666 0.830
Ce 0.000 0.000 0.500
Te 0.163 0.163 0.578
Te 0.166 0.166 0.083
Te 0.499 0.499 0.737
Te 0.501 0.501 0.263
Te 0.834 0.834 0.917
Te 0.837 0.837 0.422


# 3
Computed, not measured: Sm5Mg2Cd after structural relaxation at the PBE level of DFT.

Properties
Calculated formation energy, kJ/mol of atoms: 1.3

a = 9.734 Å, b = 9.734 Å, c = 9.734 Å
α = 132.24°, β = 132.24°, γ = 69.85°
Fractional positions:
Sm 0.000 0.000 0.000
Sm 0.009 0.509 0.832
Sm 0.177 0.009 0.500
Sm 0.323 0.823 0.832
Sm 0.491 0.323 0.500
Sm 0.500 0.500 0.000
Sm 0.509 0.677 0.500
Sm 0.677 0.177 0.168
Sm 0.823 0.991 0.500
Sm 0.991 0.491 0.168
Mg 0.126 0.374 0.500
Mg 0.374 0.874 0.247
Mg 0.626 0.126 0.753
Mg 0.874 0.626 0.500
Cd 0.250 0.250 0.000
Cd 0.750 0.750 0.000


# 4
Computed, not measured: CaErTeO6 after structural relaxation at the PBE level of DFT.

Properties
Formation energy from raw total energies, eV/atom: -2.09

a = 5.636 Å, b = 5.636 Å, c = 9.484 Å
α = 90.00°, β = 90.00°, γ = 120.00°
Fractional positions:
Ca 0.000 0.000 0.000
Ca 0.000 0.000 0.500
Er 0.333 0.667 0.250
Er 0.667 0.333 0.750
Te 0.333 0.667 0.750
Te 0.667 0.333 0.250
O 0.042 0.380 0.637
O 0.042 0.662 0.863
O 0.338 0.380 0.863
O 0.338 0.958 0.637
O 0.380 0.042 0.137
O 0.380 0.338 0.363
O 0.620 0.662 0.637
O 0.620 0.958 0.863
O 0.662 0.042 0.363
O 0.662 0.620 0.137
O 0.958 0.338 0.137
O 0.958 0.620 0.363


# 5
Computed, not measured: FeBiTeRu2 after structural relaxation at the PBE level of DFT.

Properties
Formation energy from raw total energies, eV/atom: 1.67

a = 5.032 Å, b = 5.032 Å, c = 4.835 Å
α = 90.00°, β = 90.00°, γ = 90.00°
Fractional positions:
Fe 0.000 0.000 0.000
Bi 0.000 0.000 0.500
Te 0.500 0.500 0.000
Ru 0.000 0.500 0.500
Ru 0.500 0.000 0.500


# 6
Computed, not measured: AcDy4Cd5 after structural relaxation at the PBE level of DFT.

Properties
Calculated formation energy, kJ/mol of atoms: -29.3

a = 3.786 Å, b = 3.786 Å, c = 19.274 Å
α = 90.00°, β = 90.00°, γ = 90.00°
Fractional positions:
Ac 0.000 0.000 0.000
Dy 0.000 0.000 0.213
Dy 0.000 0.000 0.405
Dy 0.000 0.000 0.595
Dy 0.000 0.000 0.787
Cd 0.500 0.500 0.121
Cd 0.500 0.500 0.308
Cd 0.500 0.500 0.500
Cd 0.500 0.500 0.692
Cd 0.500 0.500 0.879


Number 1: calculated volume 36.063 A^3/atom. Number 2: calculated volume 36.356 A^3/atom. Number 3: calculated volume 30.979 A^3/atom. Number 4: calculated volume 14.493 A^3/atom. Number 5: calculated volume 24.485 A^3/atom. Number 6: calculated volume 27.628 A^3/atom.